NiMoO2 (PBE+U, optimized geometry); polymorph energy (0 for the lowest one) = 187 meV/atom; ρ = 5.982 g cm⁻³
1.0
-4.872 1.615 0.526
0.663 -4.347 2.699
-1.124 4.604 2.433
Ni Mo O
2 2 4
Direct
0.158 0.142 0.191
0.748 0.732 0.191
0.149 0.741 0.495
0.757 0.133 0.887
0.958 0.440 0.187
0.456 0.942 0.195
0.948 0.434 0.689
0.450 0.932 0.693